(1)
Below is crystalline CaCdGe2Pt5 at its relaxed geometry, with properties calculated at the PBE level.

a = 4.2372 Å, b = 4.2372 Å, c = 9.0383 Å
α = 90.00°, β = 90.00°, γ = 90.00°
Last column: nearest neighbours and their distance in Å.
Sites, in units of the cell vectors:
Ca (0.0000, 0.0000, 0.5000)  12 Pt 2.97-3.00
Cd (0.0000, 0.0000, 0.0000)  8 Pt 3.23, 8 Ge 3.23
Ge (0.5000, 0.5000, 0.1341)  1 Ge 2.42, 4 Pt 2.45
Ge (0.5000, 0.5000, 0.8659)  1 Ge 2.42, 4 Pt 2.45
Pt (0.0000, 0.5000, 0.2699)  2 Ge 2.45
Pt (0.5000, 0.0000, 0.2699)  2 Ge 2.45
Pt (0.0000, 0.5000, 0.7301)  2 Ge 2.45
Pt (0.5000, 0.0000, 0.7301)  2 Ge 2.45
Pt (0.5000, 0.5000, 0.5000)  8 Pt 2.97, 4 Ca 3.00, 2 Ge 3.31

Results
Final energy, eV per formula unit: -46.51
Formation energy from the elements, meV/atom: -461.9

(2)
Below is crystalline CaCdSnGe at its relaxed geometry, with properties calculated at the PBE level.

a = 5.2293 Å, b = 5.2293 Å, c = 5.2293 Å
α = 60.00°, β = 60.00°, γ = 60.00°
Last column: nearest neighbours and their distance in Å.
Sites, in units of the cell vectors:
Ge (0.2500, 0.2500, 0.2500)  4 Sn 3.20, 4 Ca 3.20
Ca (0.0000, 0.0000, 0.0000)  4 Cd 3.20, 4 Ge 3.20
Sn (0.5000, 0.5000, 0.5000)  4 Cd 3.20, 4 Ge 3.20
Cd (0.7500, 0.7500, 0.7500)  4 Sn 3.20, 4 Ca 3.20

Results
Final energy, eV per formula unit: -12.26
Formation energy from the elements, meV/atom: -180.1

(3)
Below is crystalline SrCa2Cd2Ge2 at its relaxed geometry, with properties calculated at the PBE level.

a = 4.8509 Å, b = 4.8509 Å, c = 9.5902 Å
α = 75.35°, β = 75.35°, γ = 60.00°
Last column: nearest neighbours and their distance in Å.
Sites, in units of the cell vectors:
Sr (0.0000, 0.0000, 0.0000)  6 Ge 3.51, 2 Ca 3.73, 6 Cd 3.76
Ca (0.1356, 0.1356, 0.5933)  3 Cd 3.06, 4 Ge 3.23-3.32, 3 Ca 3.28
Ca (0.8644, 0.8644, 0.4067)  3 Cd 3.06, 4 Ge 3.23-3.32, 3 Ca 3.28
Cd (0.5756, 0.5756, 0.2733)  3 Ge 2.83, 3 Ca 3.06
Cd (0.4244, 0.4244, 0.7267)  3 Ge 2.83, 3 Ca 3.06
Ge (0.7437, 0.7437, 0.7688)  3 Cd 2.83
Ge (0.2563, 0.2563, 0.2312)  3 Cd 2.83

Results
Final energy, eV per formula unit: -19.41
Formation energy from the elements, meV/atom: -380.2

(4)
Below is crystalline CaTbCdGe at its relaxed geometry, with properties calculated at the PBE level.

a = 5.2132 Å, b = 5.2132 Å, c = 5.2132 Å
α = 60.00°, β = 60.00°, γ = 60.00°
Last column: nearest neighbours and their distance in Å.
Sites, in units of the cell vectors:
Ge (0.7500, 0.7500, 0.7500)  4 Tb 3.19, 4 Ca 3.19
Tb (0.5000, 0.5000, 0.5000)  4 Ge 3.19, 4 Cd 3.19
Ca (0.0000, 0.0000, 0.0000)  4 Ge 3.19, 4 Cd 3.19
Cd (0.2500, 0.2500, 0.2500)  4 Tb 3.19, 4 Ca 3.19

Results
Final energy, eV per formula unit: -13.95
Formation energy from the elements, meV/atom: -446.3

(5)
Below is crystalline CaYCdGe at its relaxed geometry, with properties calculated at the PBE level.

a = 5.2083 Å, b = 5.2083 Å, c = 5.2083 Å
α = 60.00°, β = 60.00°, γ = 60.00°
Last column: nearest neighbours and their distance in Å.
Sites, in units of the cell vectors:
Y (0.5000, 0.5000, 0.5000)  4 Ge 3.19, 4 Cd 3.19
Ge (0.2500, 0.2500, 0.2500)  4 Ca 3.19, 4 Y 3.19
Ca (0.0000, 0.0000, 0.0000)  4 Cd 3.19, 4 Ge 3.19
Cd (0.7500, 0.7500, 0.7500)  4 Y 3.19, 4 Ca 3.19

Results
Final energy, eV per formula unit: -15.81
Formation energy from the elements, meV/atom: -453.9

(6)
Below is crystalline Ca2Zn4CdGe3 at its relaxed geometry, with properties calculated at the PBE level.

a = 4.2523 Å, b = 4.2523 Å, c = 11.1381 Å
α = 90.00°, β = 90.00°, γ = 90.00°
Last column: nearest neighbours and their distance in Å.
Sites, in units of the cell vectors:
Ca (0.5000, 0.0000, 0.2403)  6 Ge 3.23-3.59, 8 Zn 3.26-3.42, 2 Cd 3.59
Ca (0.0000, 0.5000, 0.7597)  6 Ge 3.23-3.59, 8 Zn 3.26-3.42, 2 Cd 3.59
Zn (0.5000, 0.5000, 0.0000)  4 Ge 2.60
Zn (0.0000, 0.0000, 0.0000)  4 Ge 2.60
Zn (0.5000, 0.0000, 0.6455)  3 Ge 2.45-2.67, 2 Cd 2.67
Zn (0.0000, 0.5000, 0.3545)  3 Ge 2.45-2.67, 2 Cd 2.67
Cd (0.5000, 0.5000, 0.5000)  4 Zn 2.67
Ge (0.0000, 0.0000, 0.5000)  4 Zn 2.67
Ge (0.5000, 0.0000, 0.8656)  5 Zn 2.45-2.60
Ge (0.0000, 0.5000, 0.1344)  5 Zn 2.45-2.60

Results
Final energy, eV per formula unit: -27.02
Formation energy from the elements, meV/atom: -315.9

(7)
Below is crystalline CaZr2CdGe at its relaxed geometry, with properties calculated at the PBE level.

a = 5.3944 Å, b = 5.0692 Å, c = 5.3944 Å
α = 90.00°, β = 90.00°, γ = 90.00°
Last column: nearest neighbours and their distance in Å.
Sites, in units of the cell vectors:
Ge (0.0000, 0.5000, 0.0000)  2 Cd 2.53
Ca (0.5000, 0.5000, 0.5000)  8 Zr 3.70, 4 Ge 3.81
Zr (0.0000, 0.0000, 0.5000)  2 Cd 2.70
Zr (0.5000, 0.0000, 0.0000)  2 Cd 2.70
Cd (0.0000, 0.0000, 0.0000)  2 Ge 2.53, 4 Zr 2.70

Results
Final energy, eV per formula unit: -20.29
Formation energy from the elements, meV/atom: 867.8

(8)
Below is crystalline Ca6Cd2H at its relaxed geometry, with properties calculated at the PBE level.

a = 6.9745 Å, b = 7.7111 Å, c = 10.2786 Å
α = 90.00°, β = 91.43°, γ = 90.00°
Last column: nearest neighbours and their distance in Å.
Sites, in units of the cell vectors:
Ca (0.9037, 0.9859, 0.2530)  1 H 2.61
Ca (0.8245, 0.6920, 0.5454)  1 H 2.72
Ca (0.8156, 0.6857, 0.9547)  1 H 2.68
Ca (0.6844, 0.1857, 0.5453)  1 H 2.68
Ca (0.6755, 0.1920, 0.9546)  1 H 2.72
Ca (0.5963, 0.4859, 0.2470)  1 H 2.61
Ca (0.0963, 0.0141, 0.7470)  1 H 2.61
Ca (0.1755, 0.3080, 0.4546)  1 H 2.72
Ca (0.1844, 0.3143, 0.0453)  1 H 2.68
Ca (0.3156, 0.8143, 0.4547)  1 H 2.68
Ca (0.3245, 0.8080, 0.0454)  1 H 2.72
Ca (0.4037, 0.5141, 0.7530)  1 H 2.61
Cd (0.9572, 0.4056, 0.7525)  8 Ca 3.17-3.53
Cd (0.5428, 0.9056, 0.7475)  8 Ca 3.17-3.53
Cd (0.4572, 0.0944, 0.2525)  8 Ca 3.17-3.53
Cd (0.0428, 0.5944, 0.2475)  8 Ca 3.17-3.53
H (0.5000, 0.5000, 0.0000)  6 Ca 2.61-2.72
H (0.0000, 0.0000, 0.5000)  6 Ca 2.61-2.72

Results
Final energy, eV per formula unit: -19.23

(9)
Below is crystalline Ca2CdH6 at its relaxed geometry, with properties calculated at the PBE level.

a = 5.2135 Å, b = 5.2135 Å, c = 5.2135 Å
α = 60.00°, β = 60.00°, γ = 60.00°
Last column: nearest neighbours and their distance in Å.
Sites, in units of the cell vectors:
Ca (0.7500, 0.7500, 0.7500)  12 H 2.61
Ca (0.2500, 0.2500, 0.2500)  12 H 2.61
Cd (0.0000, 0.0000, 0.0000)  6 H 1.97
H (0.2668, 0.7332, 0.7332)  1 Cd 1.97
H (0.7332, 0.7332, 0.2668)  1 Cd 1.97
H (0.7332, 0.2668, 0.7332)  1 Cd 1.97
H (0.7332, 0.2668, 0.2668)  1 Cd 1.97
H (0.2668, 0.2668, 0.7332)  1 Cd 1.97
H (0.2668, 0.7332, 0.2668)  1 Cd 1.97

Results
Final energy, eV per formula unit: -26.52

(10)
Below is crystalline CaCd2H at its relaxed geometry, with properties calculated at the PBE level.

a = 8.1755 Å, b = 8.1755 Å, c = 6.3156 Å
α = 49.67°, β = 49.67°, γ = 90.00°
Last column: nearest neighbours and their distance in Å.
Sites, in units of the cell vectors:
H (0.5000, 0.5000, 0.0000)  2 Ca 2.54, 4 Cd 2.57
H (0.2500, 0.7500, 0.5000)  2 Ca 2.54, 4 Cd 2.57
Ca (0.0000, 0.0000, 0.0000)  2 H 2.54
Ca (0.7500, 0.2500, 0.5000)  2 H 2.54
Cd (0.5489, 0.1250, 0.2500)  2 H 2.57, 2 Cd 2.83
Cd (0.2011, 0.6250, 0.2500)  2 H 2.57, 2 Cd 2.83
Cd (0.3750, 0.4511, 0.7500)  2 H 2.57, 2 Cd 2.83
Cd (0.8750, 0.7989, 0.7500)  2 H 2.57, 2 Cd 2.83

Results
Final energy, eV per formula unit: -7.25

(11)
Below is crystalline Ca4Cd2H at its relaxed geometry, with properties calculated at the PBE level.

a = 4.7413 Å, b = 4.7413 Å, c = 9.4176 Å
α = 104.58°, β = 104.58°, γ = 90.00°
Last column: nearest neighbours and their distance in Å.
Sites, in units of the cell vectors:
H (0.0000, 0.0000, 0.0000)  4 Ca 2.37
Ca (0.8186, 0.8186, 0.6371)  1 H 3.19, 5 Cd 3.28-3.46
Ca (0.1814, 0.1814, 0.3629)  1 H 3.19, 5 Cd 3.28-3.46
Ca (0.0000, 0.5000, 0.0000)  2 H 2.37
Ca (0.5000, 0.0000, 0.0000)  2 H 2.37
Cd (0.6321, 0.6321, 0.2642)  9 Ca 3.28-3.46
Cd (0.3679, 0.3679, 0.7358)  9 Ca 3.28-3.46

Results
Final energy, eV per formula unit: -15.04

(12)
Below is crystalline CaCdH2 at its relaxed geometry, with properties calculated at the PBE level.

a = 5.3505 Å, b = 5.3505 Å, c = 6.8503 Å
α = 67.01°, β = 67.01°, γ = 90.00°
Last column: nearest neighbours and their distance in Å.
Sites, in units of the cell vectors:
H (0.5215, 0.1250, 0.2500)  2 Ca 2.11
H (0.2285, 0.6250, 0.2500)  2 Ca 2.11
H (0.3750, 0.4785, 0.7500)  2 Ca 2.11
H (0.8750, 0.7715, 0.7500)  2 Ca 2.11
Ca (0.5000, 0.5000, 0.0000)  4 H 2.11
Ca (0.2500, 0.7500, 0.5000)  4 H 2.11
Cd (0.0000, 0.0000, 0.0000)  4 H 2.72
Cd (0.7500, 0.2500, 0.5000)  4 H 2.72

Results
Final energy, eV per formula unit: -9.83

(13)
Below is crystalline CaCdH at its relaxed geometry, with properties calculated at the PBE level.

a = 3.8388 Å, b = 3.8388 Å, c = 5.1028 Å
α = 90.00°, β = 90.00°, γ = 120.00°
Last column: nearest neighbours and their distance in Å.
Sites, in units of the cell vectors:
H (0.3333, 0.6667, 0.5008)  3 Ca 2.22
Ca (0.6667, 0.3333, 0.4995)  3 H 2.22
Cd (0.0000, 0.0000, 0.9997)  6 H 3.38, 6 Ca 3.38

Results
Final energy, eV per formula unit: -6.76